Crystalline SmEr3Tm8 at its relaxed geometry, computed with PBE.

Its formation energy is 0.03 kcal/mol of atoms.

The structure belongs to space group Cm (No. 8); the cell edges are 12.402, 11.101 and 6.199 Å and the angles 90.00°, 119.96° and 90.00°. The asymmetric unit holds Sm at (0.000, 0.000, 0.000), Er at (0.000, 0.500, 0.000), Er at (0.499, 0.249, 0.333), Tm at (0.166, 0.251, 0.999), Tm at (0.166, 0.500, 0.666), Tm at (0.167, 0.000, 0.668), Tm at (0.332, 0.249, 0.665), Tm at (0.332, 0.500, 0.333) and Tm at (0.334, 0.000, 0.334).

=====

Crystalline CdCoHPd2 at its relaxed geometry, computed with PBE.

The total energy is -22.0 eV/cell.

The structure belongs to space group P4/mmm (No. 123); the cell edges are 4.062, 4.062 and 3.869 Å and the angles 90.00°, 90.00° and 90.00°. The asymmetric unit holds Cd at (0.000, 0.000, 0.000), Co at (0.500, 0.500, 0.000), H at (0.500, 0.500, 0.500) and Pd at (0.000, 0.500, 0.500).

=====

Crystalline Tb2Sm2Y at its relaxed geometry, computed with PBE.

Its formation energy is 3.03 kcal/mol of atoms.

The structure belongs to space group Imma (No. 74); the cell edges are 3.621, 5.732 and 32.019 Å and the angles 90.00°, 90.00° and 90.00°. The asymmetric unit holds Tb at (0.000, 0.250, 0.021), Tb at (0.000, 0.250, 0.119), Sm at (0.000, 0.250, 0.293), Sm at (0.000, 0.250, 0.808) and Y at (0.000, 0.250, 0.577).

=====

Crystalline Ti2FeB2 at its relaxed geometry, computed with PBE.

Its formation energy is -17.75 kcal/mol of atoms.

The structure belongs to space group P4/mbm (No. 127); the cell edges are 5.692, 5.692 and 3.183 Å and the angles 90.00°, 90.00° and 90.00°. The asymmetric unit holds Ti at (0.180, 0.320, 0.000), Fe at (0.000, 0.000, 0.500) and B at (0.112, 0.612, 0.500).